--- A ---
Compound: MnBeP3
Source: Alexandria
Functional: PBE
Structure: optimized geometry

Values from the calculation:
For the density of states at the Fermi level, the calculation gives 7.1 states/eV/f.u. As for the calculated density: 3.6 g/cm3.

Cell: 4.1525 4.1525 4.1525 Å, 90.00 90.00 90.00°
With the nearest neighbours (Å) after each atom.
Fractional positions:
Mn 0.0000 0.0000 0.0000  12 P 2.94
Be 0.5000 0.5000 0.5000  6 P 2.08
P 0.0000 0.5000 0.5000  2 Be 2.08
P 0.5000 0.0000 0.5000  2 Be 2.08
P 0.5000 0.5000 0.0000  2 Be 2.08


--- B ---
Compound: MnBeP3
Source: Alexandria
Functional: PBE
Structure: optimized geometry

Values from the calculation:
For the density of states at the Fermi level, the calculation gives 2.6 states/eV/f.u. As for the calculated density: 3.1 g/cm3.

Cell: 4.3617 4.3617 4.3617 Å, 90.00 90.00 90.00°
With the nearest neighbours (Å) after each atom.
Fractional positions:
Mn 0.0000 0.0000 0.0000  6 P 2.18
Be 0.5000 0.5000 0.5000  12 P 3.08
P 0.0000 0.0000 0.5000  2 Mn 2.18
P 0.0000 0.5000 0.0000  2 Mn 2.18
P 0.5000 0.0000 0.0000  2 Mn 2.18


Order from most stable to least stable according to the calculation: B, A


--- A ---
Compound: PaMn2Be
Source: Alexandria
Functional: PBE
Structure: optimized geometry

Values from the calculation:
For the density of states at the Fermi level, the calculation gives 1.9 states/eV/f.u. As for the calculated density: 10.6 g/cm3.

Cell: 6.0390 6.0390 6.0390 Å, 90.00 90.00 90.00°
With the nearest neighbours (Å) after each atom.
Fractional positions:
Pa 0.0000 0.0000 0.0000  8 Mn 2.61
Pa 0.0000 0.5000 0.5000  8 Mn 2.61
Pa 0.5000 0.0000 0.5000  8 Mn 2.61
Pa 0.5000 0.5000 0.0000  8 Mn 2.61
Mn 0.2500 0.2500 0.2500  4 Pa 2.61, 4 Be 2.61
Mn 0.2500 0.2500 0.7500  4 Pa 2.61, 4 Be 2.61
Mn 0.2500 0.7500 0.2500  4 Pa 2.61, 4 Be 2.61
Mn 0.2500 0.7500 0.7500  4 Pa 2.61, 4 Be 2.61
Mn 0.7500 0.2500 0.2500  4 Pa 2.61, 4 Be 2.61
Mn 0.7500 0.2500 0.7500  4 Pa 2.61, 4 Be 2.61
Mn 0.7500 0.7500 0.2500  4 Pa 2.61, 4 Be 2.61
Mn 0.7500 0.7500 0.7500  4 Pa 2.61, 4 Be 2.61
Be 0.0000 0.0000 0.5000  8 Mn 2.61
Be 0.0000 0.5000 0.0000  8 Mn 2.61
Be 0.5000 0.0000 0.0000  8 Mn 2.61
Be 0.5000 0.5000 0.5000  8 Mn 2.61


--- B ---
Compound: PaMn2Be
Source: Alexandria
Functional: PBE
Structure: optimized geometry

Values from the calculation:
For the density of states at the Fermi level, the calculation gives 4.4 states/eV/f.u. As for the calculated density: 9.5 g/cm3.

Cell: 4.1278 4.1278 12.4489 Å, 90.00 90.00 120.00°
With the nearest neighbours (Å) after each atom.
Fractional positions:
Pa 0.0000 0.0000 0.0000  2 Mn 2.27
Pa 0.3333 0.6667 0.6667  2 Mn 2.27
Pa 0.6667 0.3333 0.3333  2 Mn 2.27
Mn 0.0000 0.0000 0.1823  1 Pa 2.27, 3 Be 2.39, 3 Mn 2.41
Mn 0.0000 0.0000 0.8177  1 Pa 2.27, 3 Be 2.39, 3 Mn 2.41
Mn 0.3333 0.6667 0.4844  1 Pa 2.27, 3 Be 2.39, 3 Mn 2.41
Mn 0.3333 0.6667 0.8489  1 Pa 2.27, 3 Be 2.39, 3 Mn 2.41
Mn 0.6667 0.3333 0.1511  1 Pa 2.27, 3 Be 2.39, 3 Mn 2.41
Mn 0.6667 0.3333 0.5156  1 Pa 2.27, 3 Be 2.39, 3 Mn 2.41
Be 0.0000 0.0000 0.5000  6 Mn 2.39
Be 0.3333 0.6667 0.1667  6 Mn 2.39
Be 0.6667 0.3333 0.8333  6 Mn 2.39


--- C ---
Compound: PaMn2Be
Source: Alexandria
Functional: PBE
Structure: optimized geometry

Values from the calculation:
For the density of states at the Fermi level, the calculation gives 3.9 states/eV/f.u. As for the calculated density: 10.4 g/cm3.

Cell: 4.0135 4.0135 3.4600 Å, 90.00 90.00 90.00°
With the nearest neighbours (Å) after each atom.
Fractional positions:
Pa 0.0000 0.0000 0.0000  8 Mn 2.65, 4 Be 2.84
Mn 0.0000 0.5000 0.5000  4 Be 2.65, 4 Pa 2.65, 4 Mn 2.84
Mn 0.5000 0.0000 0.5000  4 Be 2.65, 4 Pa 2.65, 4 Mn 2.84
Be 0.5000 0.5000 0.0000  8 Mn 2.65, 4 Pa 2.84


Order from most stable to least stable according to the calculation: B, C, A


--- A ---
Compound: PaMnBe
Source: Alexandria
Functional: PBE
Structure: optimized geometry

Values from the calculation:
For the density of states at the Fermi level, the calculation gives 2.0 states/eV/f.u. As for the calculated density: 10.4 g/cm3.

Cell: 3.8740 3.8740 3.6244 Å, 90.00 90.00 120.00°
With the nearest neighbours (Å) after each atom.
Fractional positions:
Pa 0.0000 0.0000 0.0000  6 Be 2.88, 6 Mn 2.88
Mn 0.3333 0.6667 0.5000  3 Be 2.24
Be 0.6667 0.3333 0.5000  3 Mn 2.24


--- B ---
Compound: PaMnBe
Source: Alexandria
Functional: PBE
Structure: optimized geometry

Values from the calculation:
For the density of states at the Fermi level, the calculation gives 1.6 states/eV/f.u. As for the calculated density: 11.1 g/cm3.

Cell: 3.1240 3.1240 9.0672 Å, 90.00 90.00 90.00°
With the nearest neighbours (Å) after each atom.
Fractional positions:
Pa 0.0000 0.0000 0.0000  1 Mn 2.28
Pa 0.5000 0.5000 0.5000  1 Mn 2.28
Mn 0.0000 0.0000 0.7481  4 Be 2.27, 1 Pa 2.28
Mn 0.5000 0.5000 0.2481  4 Be 2.27, 1 Pa 2.28
Be 0.0000 0.0000 0.3051  4 Mn 2.27
Be 0.5000 0.5000 0.8051  4 Mn 2.27


Order from most stable to least stable according to the calculation: B, A


--- A ---
Compound: MnBePb
Source: Alexandria
Functional: PBE
Structure: optimized geometry

Values from the calculation:
For the density of states at the Fermi level, the calculation gives 0.5 states/eV/f.u. As for the calculated density: 7.8 g/cm3.

Cell: 6.1272 6.1272 6.1272 Å, 90.00 90.00 90.00°
With the nearest neighbours (Å) after each atom.
Fractional positions:
Mn 0.0000 0.0000 0.0000  4 Pb 2.65, 4 Be 2.65
Mn 0.0000 0.5000 0.5000  4 Pb 2.65, 4 Be 2.65
Mn 0.5000 0.0000 0.5000  4 Pb 2.65, 4 Be 2.65
Mn 0.5000 0.5000 0.0000  4 Pb 2.65, 4 Be 2.65
Be 0.2500 0.2500 0.7500  4 Mn 2.65
Be 0.2500 0.7500 0.2500  4 Mn 2.65
Be 0.7500 0.2500 0.2500  4 Mn 2.65
Be 0.7500 0.7500 0.7500  4 Mn 2.65
Pb 0.2500 0.2500 0.2500  4 Mn 2.65
Pb 0.2500 0.7500 0.7500  4 Mn 2.65
Pb 0.7500 0.2500 0.7500  4 Mn 2.65
Pb 0.7500 0.7500 0.2500  4 Mn 2.65


--- B ---
Compound: MnBePb
Source: Alexandria
Functional: PBE
Structure: optimized geometry

Values from the calculation:
For the density of states at the Fermi level, the calculation gives 1.7 states/eV/f.u. As for the calculated density: 8.7 g/cm3.

Cell: 4.0323 4.0323 3.6898 Å, 90.00 90.00 120.00°
With the nearest neighbours (Å) after each atom.
Fractional positions:
Mn 0.0000 0.0000 0.0000  3 Be 2.39
Be 0.6667 0.3333 0.8485  3 Mn 2.39
Pb 0.3333 0.6667 0.4760  3 Be 2.70, 6 Mn 2.92-3.03


Order from most stable to least stable according to the calculation: B, A


--- A ---
Compound: MnBePb
Source: Alexandria
Functional: PBE
Structure: optimized geometry

Values from the calculation:
For the density of states at the Fermi level, the calculation gives 2.6 states/eV/f.u. As for the calculated density: 8.1 g/cm3.

Cell: 3.2081 3.2081 6.2117 Å, 90.00 90.00 120.00°
With the nearest neighbours (Å) after each atom.
Fractional positions:
Mn 0.0000 0.0000 0.0000  3 Be 2.45
Be 0.3333 0.6667 0.7426  3 Mn 2.45
Pb 0.6667 0.3333 0.3923  3 Be 2.86, 3 Mn 3.06


--- B ---
Compound: MnBePb
Source: Alexandria
Functional: PBE
Structure: optimized geometry

Values from the calculation:
For the density of states at the Fermi level, the calculation gives 2.0 states/eV/f.u. As for the calculated density: 9.0 g/cm3.

Cell: 3.1204 3.1773 10.1416 Å, 90.00 90.00 90.00°
With the nearest neighbours (Å) after each atom.
Fractional positions:
Mn 0.0000 0.0000 0.0000  4 Be 2.34
Mn 0.5000 0.5000 0.5000  4 Be 2.34
Be 0.0000 0.0000 0.5725  4 Mn 2.34
Be 0.5000 0.5000 0.0725  4 Mn 2.34
Pb 0.0000 0.0000 0.2947  1 Be 2.82, 5 Mn 2.99-3.05, 2 Pb 3.12
Pb 0.5000 0.5000 0.7947  1 Be 2.82, 5 Mn 2.99-3.05, 2 Pb 3.12


Order from most stable to least stable according to the calculation: B, A


--- A ---
Compound: MnBe3Pb
Source: Alexandria
Functional: PBE
Structure: optimized geometry

Values from the calculation:
For the density of states at the Fermi level, the calculation gives 4.1 states/eV/f.u. As for the calculated density: 6.2 g/cm3.

Cell: 4.2536 4.2536 4.2536 Å, 90.00 90.00 90.00°
With the nearest neighbours (Å) after each atom.
Fractional positions:
Mn 0.0000 0.0000 0.0000  6 Be 2.13
Be 0.0000 0.0000 0.5000  2 Mn 2.13
Be 0.0000 0.5000 0.0000  2 Mn 2.13
Be 0.5000 0.0000 0.0000  2 Mn 2.13
Pb 0.5000 0.5000 0.5000  12 Be 3.01


--- B ---
Compound: MnBe3Pb
Source: Alexandria
Functional: PBE
Structure: optimized geometry

Values from the calculation:
For the density of states at the Fermi level, the calculation gives 2.5 states/eV/f.u. As for the calculated density: 4.8 g/cm3.

Cell: 4.6333 4.6333 4.6333 Å, 90.00 90.00 90.00°
With the nearest neighbours (Å) after each atom.
Fractional positions:
Mn 0.0000 0.0000 0.0000  12 Be 3.28
Be 0.0000 0.5000 0.5000  2 Pb 2.32
Be 0.5000 0.0000 0.5000  2 Pb 2.32
Be 0.5000 0.5000 0.0000  2 Pb 2.32
Pb 0.5000 0.5000 0.5000  6 Be 2.32


Order from most stable to least stable according to the calculation: A, B


--- A ---
Compound: Mn3BePb
Source: Alexandria
Functional: PBE
Structure: optimized geometry

Values from the calculation:
For the density of states at the Fermi level, the calculation gives 5.4 states/eV/f.u. As for the calculated density: 4.8 g/cm3.

Cell: 5.0846 5.0846 5.0846 Å, 90.00 90.00 90.00°
With the nearest neighbours (Å) after each atom.
Fractional positions:
Mn 0.0000 0.0000 0.5000  2 Pb 2.54
Mn 0.0000 0.5000 0.0000  2 Pb 2.54
Mn 0.5000 0.0000 0.0000  2 Pb 2.54
Be 0.5000 0.5000 0.5000  12 Mn 3.60
Pb 0.0000 0.0000 0.0000  6 Mn 2.54


--- B ---
Compound: Mn3BePb
Source: Alexandria
Functional: PBE
Structure: optimized geometry

Values from the calculation:
For the density of states at the Fermi level, the calculation gives 3.0 states/eV/f.u. As for the calculated density: 8.0 g/cm3.

Cell: 4.2926 4.2926 4.2926 Å, 90.00 90.00 90.00°
With the nearest neighbours (Å) after each atom.
Fractional positions:
Mn 0.0000 0.0000 0.5000  2 Be 2.15
Mn 0.0000 0.5000 0.0000  2 Be 2.15
Mn 0.5000 0.0000 0.0000  2 Be 2.15
Be 0.0000 0.0000 0.0000  6 Mn 2.15
Pb 0.5000 0.5000 0.5000  12 Mn 3.04


Order from most stable to least stable according to the calculation: B, A


--- A ---
Compound: Mn3BePd
Source: Alexandria
Functional: PBE
Structure: optimized geometry

Values from the calculation:
For the density of states at the Fermi level, the calculation gives 9.7 states/eV/f.u. As for the calculated density: 8.0 g/cm3.

Cell: 3.8775 3.8775 3.8775 Å, 90.00 90.00 90.00°
With the nearest neighbours (Å) after each atom.
Fractional positions:
Mn 0.0000 0.0000 0.5000  2 Be 1.94
Mn 0.0000 0.5000 0.0000  2 Be 1.94
Mn 0.5000 0.0000 0.0000  2 Be 1.94
Be 0.0000 0.0000 0.0000  6 Mn 1.94
Pd 0.5000 0.5000 0.5000  12 Mn 2.74


--- B ---
Compound: Mn3BePd
Source: Alexandria
Functional: PBE
Structure: optimized geometry

Values from the calculation:
For the density of states at the Fermi level, the calculation gives 3.8 states/eV/f.u. As for the calculated density: 4.3 g/cm3.

Cell: 4.7826 4.7826 4.7826 Å, 90.00 90.00 90.00°
With the nearest neighbours (Å) after each atom.
Fractional positions:
Mn 0.0000 0.0000 0.5000  2 Pd 2.39
Mn 0.0000 0.5000 0.0000  2 Pd 2.39
Mn 0.5000 0.0000 0.0000  2 Pd 2.39
Be 0.5000 0.5000 0.5000  12 Mn 3.38
Pd 0.0000 0.0000 0.0000  6 Mn 2.39


Order from most stable to least stable according to the calculation: A, B